(1)
Computed, not measured: an optimized crystal structure of Nd2Ag3Hg5 at the PBE level of DFT.

```
20
Lattice="-1.1262 -1.5022 5.7579 -1.0768 -9.4367 0.5124 8.2936 -0.9517 4.5590" Properties=species:S:1:pos:R:3 pbc="T T T"
Hg 0.1365 -10.6153 6.8123
Ag 3.8551 -2.8219 3.2029
Ag -0.2816 -0.3756 1.4395
Nd 1.8832 -9.0883 4.3673
Hg 4.3494 -9.3607 9.5562
Hg 4.9125 -8.6096 6.6772
Hg 5.9540 -1.2753 4.0169
Ag 0.6176 -5.9947 4.9269
Ag 2.2355 -9.0688 7.6263
Hg -1.1220 -7.9240 4.0833
Hg 1.7412 -2.5300 1.2730
Ag -0.8447 -1.1267 4.3184
Hg 3.3268 -5.5698 3.9751
Nd 4.2074 -2.8023 6.4619
Ag 5.4730 -5.8960 5.9023
Nd 5.7662 -5.8135 9.1662
Hg 1.1780 -3.2811 4.1520
Hg 2.7637 -6.3209 6.8541
Nd 0.3244 -6.0772 1.6630
Hg 7.2126 -3.9667 6.7459
```

Computed properties:
Its space group is Ibam, No. 72. As for the total energy: -42.5 eV per cell. The value obtained for the density of states at the Fermi level is 10.9 states/eV/cell. The calculation puts the formation energy at -16.2 kJ/mol of atoms.

(2)
Computed, not measured: an optimized crystal structure of TaBeAg at the PBE level of DFT.

```
12
Lattice="-3.8272 -3.1146 1.9240 -0.9207 -0.8389 -3.1894 6.1329 -7.4235 0.1823" Properties=species:S:1:pos:R:3 pbc="T T T"
Ag 0.8429 -2.4861 -2.3463
Be -0.2924 -2.0709 -0.2898
Be 2.3134 -6.2024 -1.7933
Ag 2.4569 -7.3351 0.3012
Ta -2.8623 -2.8349 0.6529
Ag -1.0718 -4.0420 -1.3843
Ta -0.2554 -6.9655 -0.8510
Be 1.6775 -9.3062 -0.7933
Ta 1.6404 -4.4116 -0.2321
Be -0.9284 -5.1747 0.7101
Ag 0.5421 -8.8910 1.2631
Ta 4.2474 -8.5422 -1.7361
```

Computed properties:
The offset from the most stable computed form comes out at 0.75 eV per formula unit. Its space group is Cmcm, No. 63. As for the total energy: -70.7 eV per cell. The value obtained for the density of states at the Fermi level is 8.2 states/eV/cell. The calculation puts the formation energy at 24.6 kJ/mol of atoms.

(3)
Computed, not measured: an optimized crystal structure of PmErTl3 at the PBE level of DFT.

```
10
Lattice="6.4752 0.0000 0.0000 0.0000 7.3784 -0.0012 0.0000 -3.6882 6.3904" Properties=species:S:1:pos:R:3 pbc="T T T"
Tl 1.6188 5.1795 1.2688
Er 3.2376 0.0000 0.0000
Tl 4.8564 -1.4894 5.1204
Pm 1.6188 0.0030 4.2585
Tl 1.6188 3.6888 3.8510
Pm 4.8564 3.6871 2.1307
Tl 4.8564 0.0013 2.5383
Er 0.0000 0.0000 0.0000
Tl 1.6188 2.1979 1.2696
Tl 4.8564 1.4922 5.1196
```

Computed properties:
Its space group is P6_3/mmc, No. 194. As for the total energy: -33.9 eV per cell. The value obtained for the density of states at the Fermi level is 7.2 states/eV/cell. The calculation puts the formation energy at -10.4 kJ/mol of atoms.

(4)
Computed, not measured: an optimized crystal structure of EuGdTlZn at the PBE level of DFT.

```
4
Lattice="5.3703 0.0000 0.0000 2.6851 4.6508 0.0000 2.6851 1.5503 4.3848" Properties=species:S:1:pos:R:3 pbc="T T T"
Zn 8.0554 4.6508 3.2886
Gd 0.0000 0.0000 0.0000
Tl 2.6851 1.5503 1.0962
Eu 5.3703 3.1005 2.1924
```

Computed properties:
Its space group is F-43m, No. 216. As for the total energy: -29.3 eV per cell. The value obtained for the density of states at the Fermi level is 8.2 states/eV/cell. The calculation puts the formation energy at -31.8 kJ/mol of atoms.

(5)
Computed, not measured: an optimized crystal structure of LiHgSb2 at the PBE level of DFT.

```
4
Lattice="-3.0174 0.5287 0.8131 -0.1263 -3.7368 1.9610 2.1881 3.1220 6.0900" Properties=species:S:1:pos:R:3 pbc="T T T"
Sb 2.0837 2.9731 5.7993
Sb -0.9624 -0.7344 3.0834
Li 0.0434 0.7007 5.8828
Hg 1.1618 1.6577 3.2336
```

Computed properties:
Its space group is Pmm2, No. 25. As for the total energy: -10.6 eV per cell. The value obtained for the density of states at the Fermi level is 2.2 states/eV/cell.

(6)
Computed, not measured: an optimized crystal structure of Tb2PdSe at the PBE level of DFT.

```
4
Lattice="-0.0071 2.4971 -3.1311 -3.3409 1.9830 -0.9722 0.8361 6.8901 2.9319" Properties=species:S:1:pos:R:3 pbc="T T T"
Tb -0.6550 2.7679 -0.3523
Pd 0.0000 0.0000 0.0000
Tb -1.8569 8.6023 -0.8191
Se -1.2559 5.6851 -0.5857
```

Computed properties:
The offset from the most stable computed form comes out at 0.28 eV per formula unit. Its space group is R-3m, No. 166. As for the total energy: -23.0 eV per cell. The value obtained for the density of states at the Fermi level is 2.3 states/eV/cell.